A plane-wave DFT calculation with PBE+U was carried out for crystalline TiWIF2 at its relaxed geometry.

a = 4.1424 Å, b = 6.2520 Å, c = 4.1424 Å
α = 90.00°, β = 90.00°, γ = 90.00°
Closest atoms and distances in Å follow each position.
Element x y z (fractional)
Ti1 0.0000 0.0000 0.0000  4 F 2.07
F1 0.0000 0.0000 0.5000  2 Ti 2.07
F2 0.5000 0.0000 0.0000  2 Ti 2.07
I1 0.0000 0.5000 0.0000  4 W 2.93, 2 Ti 3.13
W1 0.5000 0.5000 0.5000  4 I 2.93

Mass density   6139 kg/m³
Total moment   5.31 μB/cell
Uncorrected energy   -4.97 eV per atom